A plane-wave DFT calculation with PBE-GGA was carried out for a geometry-optimized Na2GdF4 structure.

Unit cell a=4.539 b=4.539 c=7.675 alpha=72.80 beta=72.80 gamma=90.00
Site moments in Bohr magnetons follow the coordinates.
Element x y z (fractional)
F 0.839 0.839 0.322  0.00
F 0.161 0.161 0.678  0.00
Na 0.319 0.319 0.362  0.00
Gd 0.000 0.000 0.000  6.78
F 0.500 0.000 0.000  0.00
Na 0.681 0.681 0.638  0.00
F 0.000 0.500 0.000  0.00

Calculated values
**Mass density**: 3.23 g cm⁻³
**VASP energy**: -44.74 eV/cell

=====

A plane-wave DFT calculation with PBE-GGA was carried out for a geometry-optimized NaGdF4 structure.

Unit cell a=6.109 b=7.088 c=7.092 alpha=61.91 beta=64.59 gamma=64.58
Site moments in Bohr magnetons follow the coordinates.
Element x y z (fractional)
Na 0.665 0.002 0.682  0.00
F 0.043 0.282 0.315  -0.03
F 0.755 0.739 0.228  0.00
F 0.594 0.711 0.650  0.00
F 0.977 0.892 0.380  0.00
Na 0.665 0.482 0.170  0.00
F 0.359 0.550 0.497  -0.01
F 0.758 0.247 0.740  -0.04
F 0.978 0.384 0.879  -0.01
F 0.362 0.010 0.032  -0.01
F 0.596 0.165 0.191  -0.01
Na 0.330 0.432 0.902  0.00
Gd 0.336 0.925 0.405  6.95
F 0.052 0.826 0.766  0.00
Gd 0.003 0.003 0.994  6.96
Gd 0.998 0.504 0.501  6.96
F 0.253 0.630 0.127  -0.03
F 0.278 0.135 0.620  0.00

Calculated values
**Mass density**: 5.44 g cm⁻³
**VASP energy**: -134.52 eV/cell

=====

A plane-wave DFT calculation with PBE-GGA was carried out for a geometry-optimized Na5Gd3F12 structure.

Unit cell a=11.717 b=11.717 c=11.717 alpha=109.47 beta=109.47 gamma=109.47
Site moments in Bohr magnetons follow the coordinates.
Element x y z (fractional)
F 0.774 0.329 0.914  0.00
F 0.055 0.640 0.726  0.00
Na 0.500 0.500 0.500  0.00
F 0.140 0.414 0.085  0.00
F 0.914 0.085 0.640  0.00
F 0.726 0.140 0.055  0.00
Gd 0.625 0.375 0.750  6.62
Na 0.125 0.375 0.250  0.00
F 0.086 0.171 0.226  0.00
Gd 0.375 0.625 0.250  6.62
F 0.171 0.086 0.726  0.00
F 0.086 0.915 0.360  0.00
Na 0.500 0.000 0.000  0.00
Na 0.500 0.500 0.000  0.00
F 0.415 0.055 0.329  0.00
F 0.274 0.414 0.829  0.00
F 0.860 0.586 0.915  0.00
F 0.414 0.274 0.329  0.00
Gd 0.250 0.625 0.875  6.62
F 0.586 0.726 0.671  0.00
F 0.585 0.945 0.671  0.00
F 0.360 0.415 0.086  0.00
F 0.915 0.829 0.555  0.00
F 0.226 0.671 0.086  0.00
Na 0.875 0.250 0.625  0.00
F 0.274 0.860 0.945  0.00
Na 0.250 0.875 0.125  0.00
Na 0.750 0.625 0.375  0.00
F 0.945 0.585 0.171  0.00
Na 0.750 0.125 0.875  0.00
F 0.415 0.360 0.586  0.00
Gd 0.250 0.125 0.375  6.62
F 0.555 0.226 0.140  0.00
Na 0.000 0.500 0.000  0.00
F 0.414 0.140 0.585  0.00
Gd 0.750 0.375 0.125  6.62
Gd 0.375 0.750 0.625  6.62
F 0.726 0.586 0.171  0.00
Gd 0.125 0.875 0.750  6.62
Gd 0.625 0.250 0.375  6.62
F 0.774 0.445 0.360  0.00
Na 0.000 0.500 0.500  0.00
Na 0.875 0.625 0.750  0.00
F 0.085 0.171 0.445  0.00
Na 0.125 0.750 0.375  0.00
F 0.445 0.671 0.085  0.00
F 0.860 0.274 0.445  0.00
F 0.671 0.226 0.586  0.00
F 0.226 0.555 0.640  0.00
Gd 0.875 0.750 0.125  6.62
F 0.140 0.726 0.555  0.00
Gd 0.875 0.125 0.250  6.62
F 0.640 0.055 0.226  0.00
Na 0.375 0.250 0.125  0.00
Na 0.375 0.125 0.750  0.00
F 0.329 0.555 0.415  0.00
F 0.171 0.085 0.945  0.00
F 0.445 0.774 0.860  0.00
Na 0.000 0.000 0.500  0.00
Gd 0.125 0.250 0.875  6.62
F 0.829 0.915 0.055  0.00
F 0.585 0.640 0.414  0.00
Na 0.625 0.750 0.875  0.00
F 0.555 0.329 0.915  0.00
Na 0.500 0.000 0.500  0.00
Na 0.000 0.000 0.000  0.00
F 0.055 0.415 0.829  0.00
F 0.914 0.829 0.774  0.00
Na 0.625 0.875 0.250  0.00
F 0.829 0.914 0.274  0.00
Gd 0.750 0.875 0.625  6.62
F 0.586 0.860 0.415  0.00
F 0.640 0.585 0.914  0.00
Na 0.250 0.375 0.625  0.00
F 0.329 0.774 0.414  0.00
F 0.360 0.945 0.774  0.00
F 0.945 0.360 0.274  0.00
F 0.671 0.445 0.585  0.00
F 0.085 0.914 0.140  0.00
F 0.915 0.086 0.860  0.00

Calculated values
**Mass density**: 4.37 g cm⁻³
**VASP energy**: -538.01 eV/cell

=====

A plane-wave DFT calculation with PBE-GGA was carried out for a geometry-optimized NaGdTiNbO6F structure.

Unit cell a=7.328 b=7.328 c=7.328 alpha=121.55 beta=117.91 gamma=90.50
Site moments in Bohr magnetons follow the coordinates.
Element x y z (fractional)
Nb 0.000 0.500 0.500  0.00
O 0.422 0.172 0.250  0.01
O 0.819 0.587 0.650  0.00
F 0.871 0.121 0.750  0.00
Gd 0.000 0.000 0.000  6.91
Na 0.000 0.500 0.000  0.00
O 0.819 0.169 0.232  0.00
O 0.437 0.587 0.268  0.00
O 0.578 0.828 0.750  0.01
F 0.129 0.879 0.250  0.00
O 0.181 0.831 0.768  0.00
O 0.182 0.432 0.750  0.00
Gd 0.500 0.000 0.500  6.91
O 0.818 0.568 0.250  0.00
Ti 0.500 0.500 0.500  0.00
O 0.437 0.169 0.850  0.00
Ti 0.500 0.000 0.000  0.00
O 0.563 0.831 0.150  0.00
Na 0.000 0.000 0.500  0.00
Nb 0.500 0.500 0.000  0.00
O 0.563 0.413 0.732  0.00
O 0.181 0.413 0.350  0.00

Calculated values
**Mass density**: 5.19 g cm⁻³
**VASP energy**: -194.79 eV/cell

=====

A plane-wave DFT calculation with PBE-GGA was carried out for a geometry-optimized Na5Gd4Si4O16F structure.

Unit cell a=8.789 b=8.789 c=8.789 alpha=95.60 beta=95.60 gamma=143.59
Site moments in Bohr magnetons follow the coordinates.
Element x y z (fractional)
O 0.800 0.770 0.439  -0.02
O 0.331 0.361 0.561  -0.02
O 0.639 0.200 0.970  -0.02
O 0.543 0.777 0.864  -0.01
O 0.794 0.970 0.245  0.00
Si 0.241 0.592 0.856  0.00
Si 0.408 0.264 0.649  0.00
Gd 0.794 0.861 0.701  6.93
Si 0.615 0.759 0.351  0.00
O 0.587 0.865 0.494  0.00
Gd 0.139 0.840 0.933  6.93
O 0.230 0.669 0.030  -0.02
O 0.913 0.680 0.136  -0.01
Si 0.736 0.385 0.144  0.00
O 0.320 0.457 0.234  -0.01
Na 0.924 0.619 0.516  0.00
O 0.371 0.093 0.506  0.00
O 0.450 0.206 0.175  0.00
O 0.030 0.275 0.825  0.00
F 0.000 0.000 0.000  0.00
O 0.135 0.629 0.722  0.00
Gd 0.908 0.206 0.067  6.93
O 0.223 0.087 0.766  -0.01
Na 0.593 0.076 0.695  0.00
Na 0.381 0.898 0.305  0.00
O 0.907 0.413 0.278  0.00
Gd 0.160 0.092 0.299  6.93
O 0.725 0.550 0.755  0.00
Na 0.500 0.500 0.000  0.00
Na 0.102 0.407 0.484  0.00

Calculated values
**Mass density**: 4.91 g cm⁻³
**VASP energy**: -252.85 eV/cell

=====

A plane-wave DFT calculation with PBE-GGA was carried out for a geometry-optimized Nd3GdF structure.

Unit cell a=5.192 b=5.192 c=5.192 alpha=90.00 beta=90.00 gamma=90.00
Site moments in Bohr magnetons follow the coordinates.
Element x y z (fractional)
Nd 0.500 0.000 0.000  -0.01
Nd 0.000 0.000 0.500  -0.01
F 0.000 0.000 0.000  -0.01
Gd 0.500 0.500 0.500  7.16
Nd 0.000 0.500 0.000  -0.01

Calculated values
**Mass density**: 7.23 g cm⁻³
**VASP energy**: -35.14 eV/cell

=====

A plane-wave DFT calculation with PBE-GGA was carried out for a geometry-optimized NdGd3F structure.

Unit cell a=5.137 b=5.137 c=5.137 alpha=90.00 beta=90.00 gamma=90.00
Site moments in Bohr magnetons follow the coordinates.
Element x y z (fractional)
F 0.000 0.000 0.000  0.00
Gd 0.500 0.000 0.000  7.03
Gd 0.000 0.000 0.500  7.03
Gd 0.000 0.500 0.000  7.03
Nd 0.500 0.500 0.500  -0.10

Calculated values
**Mass density**: 7.78 g cm⁻³
**VASP energy**: -53.53 eV/cell

=====

A plane-wave DFT calculation with PBE-GGA was carried out for a geometry-optimized NdGdF structure.

Unit cell a=3.829 b=3.829 c=5.732 alpha=90.00 beta=90.00 gamma=120.00
Site moments in Bohr magnetons follow the coordinates.
Element x y z (fractional)
F 0.333 0.667 0.676  0.00
Gd 0.000 0.000 0.912  7.09
Nd 0.667 0.333 0.412  -0.04

Calculated values
**Mass density**: 7.31 g cm⁻³
**VASP energy**: -25.36 eV/cell

=====

A plane-wave DFT calculation with PBE-GGA was carried out for a geometry-optimized GdPbF structure.

Unit cell a=3.379 b=3.379 c=6.494 alpha=105.08 beta=105.08 gamma=90.00
Site moments in Bohr magnetons follow the coordinates.
Element x y z (fractional)
F 0.273 0.273 0.545  -0.01
Pb 0.005 0.005 0.011  -0.04
Gd 0.722 0.722 0.444  6.97

Calculated values
**Mass density**: 9.23 g cm⁻³
**VASP energy**: -24.70 eV/cell
**Polymorph energy (0 for the lowest one)**: 0.1900 eV/atom

=====

A plane-wave DFT calculation with PBE-GGA was carried out for a geometry-optimized GdPbF2 structure.

Unit cell a=4.508 b=4.508 c=6.048 alpha=68.12 beta=68.12 gamma=60.00
Site moments in Bohr magnetons follow the coordinates.
Element x y z (fractional)
F 0.135 0.135 0.594  0.01
F 0.865 0.865 0.406  0.01
Gd 0.000 0.000 0.000  7.01
Pb 0.500 0.500 0.500  0.01

Calculated values
**Mass density**: 6.96 g cm⁻³
**VASP energy**: -29.32 eV/cell

=====

A plane-wave DFT calculation with PBE-GGA was carried out for a geometry-optimized GdPbF structure.

Unit cell a=5.395 b=3.947 c=3.947 alpha=120.00 beta=90.00 gamma=90.00
Site moments in Bohr magnetons follow the coordinates.
Element x y z (fractional)
Gd 0.167 0.000 0.000  6.87
Pb 0.667 0.667 0.333  0.00
F 0.167 0.333 0.667  0.01

Calculated values
**Mass density**: 8.75 g cm⁻³
**VASP energy**: -25.27 eV/cell
**Polymorph energy (0 for the lowest one)**: 0.0000 eV/atom

=====

A plane-wave DFT calculation with PBE-GGA was carried out for a geometry-optimized PmGdF2 structure.

Unit cell a=3.508 b=3.508 c=8.236 alpha=77.70 beta=77.70 gamma=60.00
Site moments in Bohr magnetons follow the coordinates.
Element x y z (fractional)
F 0.095 0.095 0.715  0.00
Gd 0.000 0.000 0.000  6.88
F 0.905 0.905 0.285  0.00
Pm 0.500 0.500 0.500  0.00

Calculated values
**Mass density**: 6.64 g cm⁻³
**VASP energy**: -31.71 eV/cell

=====

A plane-wave DFT calculation with PBE-GGA was carried out for a geometry-optimized PmGd3F structure.

Unit cell a=5.127 b=5.127 c=5.127 alpha=90.00 beta=90.00 gamma=90.00
Site moments in Bohr magnetons follow the coordinates.
Element x y z (fractional)
F 0.000 0.000 0.000  0.00
Gd 0.000 0.000 0.500  7.03
Pm 0.500 0.500 0.500  -0.10
Gd 0.500 0.000 0.000  7.03
Gd 0.000 0.500 0.000  7.03

Calculated values
**Mass density**: 7.83 g cm⁻³
**VASP energy**: -53.51 eV/cell

=====

A plane-wave DFT calculation with PBE-GGA was carried out for a geometry-optimized Pm2GdF structure.

Unit cell a=3.780 b=3.780 c=8.946 alpha=77.80 beta=77.80 gamma=60.00
Site moments in Bohr magnetons follow the coordinates.
Element x y z (fractional)
F 0.000 0.000 0.000  -0.01
Pm 0.723 0.723 0.831  -0.03
Pm 0.277 0.277 0.169  -0.03
Gd 0.500 0.500 0.500  7.24

Calculated values
**Mass density**: 7.21 g cm⁻³
**VASP energy**: -30.01 eV/cell

=====

A plane-wave DFT calculation with PBE-GGA was carried out for a geometry-optimized PrGdF structure.

Unit cell a=3.848 b=3.848 c=5.765 alpha=90.00 beta=90.00 gamma=120.00
Site moments in Bohr magnetons follow the coordinates.
Element x y z (fractional)
F 0.333 0.667 0.680  0.00
Gd 0.000 0.000 0.909  7.09
Pr 0.667 0.333 0.411  -0.04

Calculated values
**Mass density**: 7.13 g cm⁻³
**VASP energy**: -25.37 eV/cell

=====

A plane-wave DFT calculation with PBE-GGA was carried out for a geometry-optimized PrGdF2 structure.

Unit cell a=3.549 b=3.549 c=8.280 alpha=77.62 beta=77.62 gamma=60.00
Site moments in Bohr magnetons follow the coordinates.
Element x y z (fractional)
Gd 0.000 0.000 0.000  6.88
F 0.094 0.094 0.718  0.00
Pr 0.500 0.500 0.500  0.01
F 0.906 0.906 0.282  0.00

Calculated values
**Mass density**: 6.38 g cm⁻³
**VASP energy**: -31.86 eV/cell

=====

A plane-wave DFT calculation with PBE-GGA was carried out for a geometry-optimized Pr3GdF structure.

Unit cell a=5.230 b=5.230 c=5.230 alpha=90.00 beta=90.00 gamma=90.00
Site moments in Bohr magnetons follow the coordinates.
Element x y z (fractional)
Pr 0.000 0.500 0.000  -0.01
Gd 0.500 0.500 0.500  7.16
Pr 0.000 0.000 0.500  -0.01
F 0.000 0.000 0.000  -0.01
Pr 0.500 0.000 0.000  -0.01

Calculated values
**Mass density**: 6.95 g cm⁻³
**VASP energy**: -35.21 eV/cell

=====

A plane-wave DFT calculation with PBE-GGA was carried out for a geometry-optimized GdPtF7 structure.

Unit cell a=5.598 b=9.009 c=12.122 alpha=62.27 beta=90.00 gamma=90.00
Site moments in Bohr magnetons follow the coordinates.
Element x y z (fractional)
F 0.965 0.726 0.633  0.00
F 0.434 0.704 0.916  0.00
F 0.057 0.279 0.041  0.00
Gd 0.761 0.813 0.765  6.93
F 0.255 0.973 0.450  0.00
F 0.066 0.704 0.416  0.00
F 0.056 0.745 0.174  0.00
F 0.443 0.279 0.541  0.00
F 0.745 0.027 0.550  0.00
F 0.272 0.481 0.641  0.00
F 0.089 0.968 0.732  0.01
F 0.556 0.255 0.326  0.00
F 0.728 0.519 0.359  0.00
F 0.411 0.968 0.232  0.01
F 0.943 0.721 0.959  0.00
Pt 0.242 0.727 0.043  0.01
F 0.245 0.973 0.950  0.00
F 0.772 0.519 0.859  0.00
F 0.566 0.296 0.084  0.00
F 0.444 0.745 0.674  0.00
Gd 0.239 0.187 0.235  6.93
F 0.228 0.481 0.141  0.00
F 0.944 0.255 0.826  0.00
Pt 0.758 0.273 0.957  0.01
F 0.911 0.032 0.268  0.01
F 0.934 0.296 0.584  0.00
Gd 0.261 0.187 0.735  6.93
F 0.035 0.274 0.367  0.00
Pt 0.742 0.273 0.457  0.01
F 0.535 0.726 0.133  0.00
Pt 0.258 0.727 0.543  0.01
F 0.755 0.027 0.050  0.00
F 0.589 0.032 0.768  0.01
F 0.465 0.274 0.867  0.00
F 0.557 0.721 0.459  0.00
Gd 0.739 0.813 0.265  6.93

Calculated values
**Mass density**: 5.96 g cm⁻³
**VASP energy**: -225.06 eV/cell

=====

A plane-wave DFT calculation with PBE-GGA was carried out for a geometry-optimized Gd2PuF structure.

Unit cell a=3.603 b=3.603 c=9.014 alpha=78.47 beta=78.47 gamma=60.00
Site moments in Bohr magnetons follow the coordinates.
Element x y z (fractional)
Gd 0.729 0.729 0.814  7.08
Gd 0.271 0.271 0.186  7.08
Pu 0.500 0.500 0.500  5.53
F 0.000 0.000 0.000  0.00

Calculated values
**Mass density**: 9.73 g cm⁻³
**VASP energy**: -48.51 eV/cell

=====

A plane-wave DFT calculation with PBE-GGA was carried out for a geometry-optimized Rb2GdF4 structure.

Unit cell a=4.649 b=4.649 c=8.452 alpha=74.04 beta=74.04 gamma=90.00
Site moments in Bohr magnetons follow the coordinates.
Element x y z (fractional)
F 0.145 0.145 0.710  0.00
Rb 0.336 0.336 0.328  0.00
Rb 0.664 0.664 0.672  0.00
Gd 0.000 0.000 0.000  6.68
F 0.500 0.000 0.000  0.00
F 0.855 0.855 0.290  0.00
F 0.000 0.500 0.000  0.00

Calculated values
**Mass density**: 3.99 g cm⁻³
**VASP energy**: -44.69 eV/cell

=====

So what do the calculations give for volume? Going down the list: 143.6 234.6 1238.4 279.0 382.8 139.9 135.5 72.8 69.0 96.1 72.8 85.1 134.8 107.3 73.9 87.5 143.0 541.1 98.6 168.3 Å³ per cell.
So what do the calculations give for energy relative to the elements, uncorrected? Going down the list: -2934.4 -3658.9 -3160.5 -2946.5 -2901.2 -977.1 -929.6 -1547.3 -1679.9 -1947.4 -1869.8 -2283.1 -929.0 -1140.2 -1546.4 -2314.1 -983.0 -2560.6 -1036.1 -3026.9 meV/atom.